Here is a geometry-optimized AgPt2Pb structure from Alexandria. Energies are from GGA-PBE.

```
AgPt2Pb
1.0
4.650 -2.102 0.000
4.650 2.102 0.000
-1.899 0.000 3.759
Ag Pt Pb
1 2 1
Cartesian
0.000 0.000 0.000
0.899 0.000 2.819
6.502 0.000 0.940
3.700 0.000 1.880
```

Results
As for the space group: No. 12. The density of states at the Fermi level comes out at 1.8 states/eV/f.u. The calculation puts the electronic total energy at -18.7 eV/f.u. The calculation puts the formation energy from the elements at -0.07 eV per formula unit.